No. 1
SiBiIrAu: optimized geometry, PBE.

Summary:
The value obtained for the volume is 20.71 Å³ per atom. For the excess energy over the best structure of this formula in the dataset, the calculation gives 0.060 eV/atom. The total energy is -21.702 eV for the cell shown. As for the formation energy (no corrections): -65 meV/atom. The density comes out at 12.55 g/cm3.

Lattice parameters (Å, degrees): 3.8564 3.8564 6.4315 90.00 90.00 120.00
Positions (direct):
Si 0.0000 0.0000 0.0000
Bi 0.0000 0.0000 0.4526
Ir 0.3333 0.6667 0.1211
Au 0.6667 0.3333 0.7957


No. 2
La2HoScSb4: optimized geometry, PBE.

Summary:
The value obtained for the volume is 31.15 Å³ per atom. The total energy is -46.300 eV for the cell shown. As for the formation energy (no corrections): -1131 meV/atom. The density comes out at 6.50 g/cm3.

Lattice parameters (Å, degrees): 7.6742 4.4632 7.7227 90.00 109.62 90.00
Positions (direct):
La 0.0000 0.0000 0.0000
La 0.0000 0.5000 0.5000
Ho 0.5000 0.0000 0.5000
Sc 0.5000 0.5000 0.0000
Sb 0.2692 0.5000 0.2505
Sb 0.2735 0.0000 0.7638
Sb 0.7265 0.0000 0.2362
Sb 0.7308 0.5000 0.7495


No. 3
SrBeF: optimized geometry, PBE.

Summary:
The value obtained for the volume is 19.07 Å³ per atom. For the excess energy over the best structure of this formula in the dataset, the calculation gives 0.063 eV/atom. The total energy is -23.278 eV for the cell shown. As for the formation energy (no corrections): -1453 meV/atom. The density comes out at 3.36 g/cm3.

Lattice parameters (Å, degrees): 5.3680 5.3680 4.5002 90.00 90.00 118.08
Positions (direct):
Sr 0.1767 0.8233 0.5000
Sr 0.8233 0.1767 0.0000
Be 0.4715 0.5285 0.9943
Be 0.5285 0.4715 0.4943
F 0.2847 0.7153 0.9997
F 0.7153 0.2847 0.4997


No. 4
Ag2Pd3Pb2: optimized geometry, PBE.

Summary:
For the formation energy, the calculation gives -0.120 eV/atom. The value obtained for the volume is 19.23 Å³ per atom. For the excess energy over the best structure of this formula in the dataset, the calculation gives 0.000 eV/atom. The total energy is -29.537 eV for the cell shown. The density comes out at 11.71 g/cm3.

Lattice parameters (Å, degrees): 5.1083 5.1083 6.9150 99.81 99.81 49.43
Positions (direct):
Ag 0.1465 0.1465 0.4208
Ag 0.8535 0.8535 0.5792
Pd 0.0000 0.0000 0.0000
Pd 0.2776 0.2776 0.8451
Pd 0.7224 0.7224 0.1549
Pb 0.4242 0.4242 0.2455
Pb 0.5758 0.5758 0.7545